[1]
The following is a PBE calculation of Ca2AsBr after structural relaxation, from the Alexandria database. Values from VASP.

Summary:
The value obtained for the energy is -4.075 eV per atom. Its density is 3.29 Mg/m³. As for the space-group type: No. 160.

The structure in Quantum ESPRESSO input format:
```
&SYSTEM
  ibrav = 0, nat = 4, ntyp = 3
/
ATOMIC_SPECIES
Br 79.90 Br.upf
As 74.92 As.upf
Ca 40.08 Ca.upf
CELL_PARAMETERS angstrom
-1.162 -3.326 -2.436
1.700 -3.867 0.704
-5.347 -3.959 4.191
ATOMIC_POSITIONS crystal
Br 0.495 0.495 0.515
As 0.668 0.668 0.996
Ca 0.268 0.268 0.196
Ca 0.069 0.069 0.793
```

[2]
The following is a PBE calculation of ZnSi2Tc after structural relaxation, from the Alexandria database. Values from VASP.

Summary:
Its density is 6.17 Mg/m³. As for the space-group type: No. 166. As for the energy above the most stable polymorph in this dataset: 0.058 eV per atom.

The structure in Quantum ESPRESSO input format:
```
&SYSTEM
  ibrav = 0, nat = 4, ntyp = 3
/
ATOMIC_SPECIES
Si 28.09 Si.upf
Tc 98.00 Tc.upf
Zn 65.41 Zn.upf
CELL_PARAMETERS angstrom
7.964 0.000 0.000
7.414 2.910 0.000
7.414 1.403 2.549
ATOMIC_POSITIONS crystal
Si 0.506 0.506 0.506
Tc 0.250 0.250 0.250
Si 0.994 0.994 0.994
Zn 0.750 0.750 0.750
```

[3]
The following is a PBE calculation of BaSc2Se after structural relaxation, from the Alexandria database. Values from VASP.

Summary:
The value obtained for the energy is -4.937 eV per atom. Its density is 4.44 Mg/m³. As for the space-group type: No. 123.

The structure in Quantum ESPRESSO input format:
```
&SYSTEM
  ibrav = 0, nat = 4, ntyp = 3
/
ATOMIC_SPECIES
Ba 137.33 Ba.upf
Se 78.96 Se.upf
Sc 44.96 Sc.upf
CELL_PARAMETERS angstrom
-2.709 1.890 1.290
-2.285 -2.338 -1.374
0.303 -4.831 7.718
ATOMIC_POSITIONS crystal
Ba 0.500 0.500 0.750
Se 0.500 0.500 0.250
Sc 0.000 0.000 0.084
Sc 0.000 0.000 0.416
```

[4]
The following is a PBE calculation of Li4Tb3ScTe8 after structural relaxation, from the Alexandria database. Values from VASP.

Summary:
The value obtained for the energy is -4.574 eV per atom. Its density is 5.75 Mg/m³. As for the space-group type: No. 166.

The structure in Quantum ESPRESSO input format:
```
&SYSTEM
  ibrav = 0, nat = 16, ntyp = 4
/
ATOMIC_SPECIES
Te 127.60 Te.upf
Li 6.94 Li.upf
Sc 44.96 Sc.upf
Tb 158.93 Tb.upf
CELL_PARAMETERS angstrom
8.625 0.000 0.000
0.000 8.621 -0.011
-4.312 -4.307 6.102
ATOMIC_POSITIONS crystal
Te 0.755 0.249 0.994
Li 0.500 0.000 0.500
Te 0.761 0.751 0.006
Te 0.247 0.242 0.494
Sc 0.000 0.500 0.000
Te 0.245 0.751 0.490
Li 0.000 0.000 0.500
Te 0.245 0.751 0.006
Te 0.755 0.249 0.510
Li 0.500 0.000 0.000
Tb 0.000 0.500 0.500
Tb 0.500 0.500 0.000
Li 0.000 0.000 0.000
Tb 0.500 0.500 0.500
Te 0.239 0.249 0.994
Te 0.753 0.758 0.506
```

[5]
The following is a PBE calculation of Pr3Te4 after structural relaxation, from the Alexandria database. Values from VASP.

Summary:
The value obtained for the energy is -5.291 eV per atom. Its density is 7.00 Mg/m³. As for the space-group type: No. 220.

The structure in Quantum ESPRESSO input format:
```
&SYSTEM
  ibrav = 0, nat = 14, ntyp = 2
/
ATOMIC_SPECIES
Pr 140.91 Pr.upf
Te 127.60 Te.upf
CELL_PARAMETERS angstrom
8.315 0.000 0.000
-2.772 7.839 0.000
-2.772 -3.920 6.789
ATOMIC_POSITIONS crystal
Pr 0.375 0.625 0.750
Pr 0.250 0.125 0.875
Te 0.151 0.500 0.000
Te 0.500 0.000 0.151
Pr 0.875 0.250 0.125
Te 0.849 0.849 0.849
Pr 0.625 0.750 0.375
Pr 0.125 0.875 0.250
Pr 0.750 0.375 0.625
Te 0.349 0.349 0.349
Te 0.000 0.651 0.500
Te 0.500 0.000 0.651
Te 0.000 0.151 0.500
Te 0.651 0.500 0.000
```

[6]
The following is a PBE calculation of LiInNi2 after structural relaxation, from the Alexandria database. Values from VASP.

Summary:
Its density is 7.27 Mg/m³. The value obtained for the formation energy is -14 kJ/mol of formula units. As for the space-group type: No. 47.

The structure in Quantum ESPRESSO input format:
```
&SYSTEM
  ibrav = 0, nat = 4, ntyp = 3
/
ATOMIC_SPECIES
Li 6.94 Li.upf
Ni 58.69 Ni.upf
In 114.82 In.upf
CELL_PARAMETERS angstrom
-2.520 -0.741 2.104
1.897 -1.256 1.831
2.628 3.610 4.420
ATOMIC_POSITIONS crystal
Li 0.500 0.750 0.750
Ni 0.000 0.021 0.978
Ni 0.000 0.479 0.522
In 0.500 0.250 0.250
```

[7]
The following is a PBE calculation of CsThBr6 after structural relaxation, from the Alexandria database. Values from VASP.

Summary:
Its density is 4.03 Mg/m³. As for the space-group type: No. 12. As for the energy above the most stable polymorph in this dataset: 0.000 eV per atom.

The structure in Quantum ESPRESSO input format:
```
&SYSTEM
  ibrav = 0, nat = 8, ntyp = 3
/
ATOMIC_SPECIES
Br 79.90 Br.upf
Th 232.04 Th.upf
Cs 132.91 Cs.upf
CELL_PARAMETERS angstrom
-3.756 0.348 5.743
0.851 -6.817 -0.108
5.702 -0.420 5.004
ATOMIC_POSITIONS crystal
Br 0.725 0.725 0.873
Th 0.000 0.000 0.000
Br 0.059 0.683 0.261
Br 0.683 0.059 0.261
Cs 0.500 0.500 0.500
Br 0.941 0.317 0.739
Br 0.275 0.275 0.127
Br 0.317 0.941 0.739
```

[8]
The following is a PBE calculation of LaGdPd2 after structural relaxation, from the Alexandria database. Values from VASP.

Summary:
Its density is 8.99 Mg/m³. The value obtained for the formation energy is -304 kJ/mol of formula units. As for the space-group type: No. 123. As for the energy above the most stable polymorph in this dataset: 0.000 eV per atom.

The structure in Quantum ESPRESSO input format:
```
&SYSTEM
  ibrav = 0, nat = 4, ntyp = 3
/
ATOMIC_SPECIES
Gd 157.25 Gd.upf
Pd 106.42 Pd.upf
La 138.91 La.upf
CELL_PARAMETERS angstrom
-1.811 2.758 -1.398
-0.416 -1.823 -3.058
-6.259 -2.825 2.536
ATOMIC_POSITIONS crystal
Gd 0.500 0.500 0.000
Pd 0.000 0.000 0.769
Pd 0.000 0.000 0.231
La 0.500 0.500 0.500
```

[9]
The following is a PBE calculation of Tb3Nd2Sn2 after structural relaxation, from the Alexandria database. Values from VASP.

Summary:
Its density is 7.68 Mg/m³. The value obtained for the formation energy is -195 kJ/mol of formula units. As for the space-group type: No. 12.

The structure in Quantum ESPRESSO input format:
```
&SYSTEM
  ibrav = 0, nat = 7, ntyp = 3
/
ATOMIC_SPECIES
Sn 118.71 Sn.upf
Tb 158.93 Tb.upf
Nd 144.24 Nd.upf
CELL_PARAMETERS angstrom
-1.538 2.469 -2.022
-2.535 -5.756 -5.102
-4.238 1.180 7.767
ATOMIC_POSITIONS crystal
Sn 0.420 0.117 0.841
Tb 0.212 0.784 0.425
Sn 0.580 0.883 0.159
Tb 0.000 0.500 0.000
Tb 0.788 0.216 0.575
Nd 0.118 0.261 0.236
Nd 0.882 0.739 0.764
```

[10]
The following is a PBE calculation of Tm5CdPb8 after structural relaxation, from the Alexandria database. Values from VASP.

Summary:
Its density is 10.58 Mg/m³. The value obtained for the formation energy is -238 kJ/mol of formula units. As for the space-group type: No. 82.

The structure in Quantum ESPRESSO input format:
```
&SYSTEM
  ibrav = 0, nat = 14, ntyp = 3
/
ATOMIC_SPECIES
Cd 112.41 Cd.upf
Pb 207.20 Pb.upf
Tm 168.93 Tm.upf
CELL_PARAMETERS angstrom
-7.198 2.358 2.968
4.289 -4.475 5.268
3.594 7.068 -1.817
ATOMIC_POSITIONS crystal
Cd 0.250 0.500 0.750
Pb 0.094 0.740 0.505
Pb 0.132 0.719 0.048
Tm 0.778 0.660 0.692
Pb 0.329 0.281 0.413
Tm 0.882 0.914 0.222
Pb 0.587 0.915 0.868
Pb 0.952 0.085 0.671
Pb 0.765 0.260 0.354
Pb 0.495 0.589 0.235
Tm 0.033 0.340 0.118
Tm 0.308 0.086 0.967
Pb 0.646 0.411 0.906
Tm 0.500 0.000 0.500
```

[11]
The following is a PBE calculation of Eu2MgPd after structural relaxation, from the Alexandria database. Values from VASP.

Summary:
Its density is 6.49 Mg/m³. The value obtained for the formation energy is -142 kJ/mol of formula units. As for the space-group type: No. 123. As for the energy above the most stable polymorph in this dataset: 0.000 eV per atom.

The structure in Quantum ESPRESSO input format:
```
&SYSTEM
  ibrav = 0, nat = 4, ntyp = 3
/
ATOMIC_SPECIES
Eu 151.96 Eu.upf
Mg 24.30 Mg.upf
Pd 106.42 Pd.upf
CELL_PARAMETERS angstrom
3.768 0.000 0.000
0.000 3.768 0.000
0.000 0.000 7.837
ATOMIC_POSITIONS crystal
Eu 0.000 0.000 0.783
Eu 0.000 0.000 0.217
Mg 0.500 0.500 0.500
Pd 0.500 0.500 0.000
```

[12]
The following is a PBE calculation of UTl2SbS4 after structural relaxation, from the Alexandria database. Values from VASP.

Summary:
The value obtained for the energy is -5.237 eV per atom. Its density is 6.87 Mg/m³. As for the space-group type: No. 10.

The structure in Quantum ESPRESSO input format:
```
&SYSTEM
  ibrav = 0, nat = 8, ntyp = 4
/
ATOMIC_SPECIES
Tl 204.38 Tl.upf
U 238.03 U.upf
S 32.06 S.upf
Sb 121.76 Sb.upf
CELL_PARAMETERS angstrom
-0.477 -1.145 -3.841
3.314 -6.069 1.397
-7.714 -1.288 1.342
ATOMIC_POSITIONS crystal
Tl 0.000 0.500 0.500
U 0.500 0.500 0.000
S 0.500 0.766 0.804
S 0.500 0.234 0.196
Tl 0.500 0.000 0.500
Sb 0.000 0.000 0.000
S 0.000 0.273 0.805
S 0.000 0.727 0.195
```

Values for M_tot, μB/atom, ordered as above
0.00 0.00 0.41 0.00 0.00 0.00 0.00 1.80 0.06 0.00 3.61 0.34